No. 1
# Y2NiHg2, relaxed, DFT PBE
# Calculated density   8.20 g cm⁻³
# Electronic total energy   -39.35 eV per cell
data_Y2NiHg2
_cell_length_a 7.4138
_cell_length_b 7.4138
_cell_length_c 4.6985
_cell_angle_alpha 90.00
_cell_angle_beta 90.00
_cell_angle_gamma 90.00
_symmetry_space_group_name_H-M 'P 4/m b m'
_symmetry_Int_Tables_number 127
_symmetry_space_group_name_Hall '-P 4 2ab'
loop_
_atom_site_label
_atom_site_type_symbol
_atom_site_fract_x
_atom_site_fract_y
_atom_site_fract_z
Y1 Y 0.1695 0.3305 0.0000
Ni1 Ni 0.0000 0.0000 0.0000
Hg1 Hg 0.1429 0.6429 0.5000



No. 2
# Y6Ni2Hg, relaxed, DFT PBE
# Calculated density   6.17 g cm⁻³
# Electronic total energy   -214.69 eV per cell
data_Y6Ni2Hg
_cell_length_a 9.3652
_cell_length_b 9.7423
_cell_length_c 10.0468
_cell_angle_alpha 90.00
_cell_angle_beta 90.00
_cell_angle_gamma 90.00
_symmetry_space_group_name_H-M 'I m m m'
_symmetry_Int_Tables_number 71
_symmetry_space_group_name_Hall '-I 2 2'
loop_
_atom_site_label
_atom_site_type_symbol
_atom_site_fract_x
_atom_site_fract_y
_atom_site_fract_z
Y1 Y 0.0000 0.1991 0.2350
Y2 Y 0.1936 0.5000 0.1744
Y3 Y 0.2113 0.3179 0.5000
Ni1 Ni 0.0000 0.3555 0.0000
Ni2 Ni 0.0000 0.5000 0.3789
Hg1 Hg 0.0000 0.0000 0.0000
Hg2 Hg 0.0000 0.0000 0.5000



No. 3
# Y2NiHg, relaxed, DFT PBE
# Calculated density   7.71 g cm⁻³
# Electronic total energy   -19.75 eV per cell
data_Y2NiHg
_cell_length_a 3.5929
_cell_length_b 3.5929
_cell_length_c 7.2948
_cell_angle_alpha 90.00
_cell_angle_beta 90.00
_cell_angle_gamma 90.00
_symmetry_space_group_name_H-M 'P 4 m m'
_symmetry_Int_Tables_number 99
loop_
_symmetry_equiv_pos_as_xyz
'x,y,z'
'-y,x,z'
'-x,-y,z'
'y,-x,z'
'-x,y,z'
'y,x,z'
'x,-y,z'
'-y,-x,z'
loop_
_atom_site_label
_atom_site_type_symbol
_atom_site_fract_x
_atom_site_fract_y
_atom_site_fract_z
Y1 Y 0.0000 0.0000 0.0000
Y2 Y 0.5000 0.5000 0.3512
Ni1 Ni 0.5000 0.5000 0.8055
Hg1 Hg 0.0000 0.0000 0.5950



No. 4
# Y4NiHg, relaxed, DFT PBE
# Calculated density   6.36 g cm⁻³
# Electronic total energy   -67.32 eV per cell
data_Y4NiHg
_cell_length_a 5.7525
_cell_length_b 7.0650
_cell_length_c 8.2192
_cell_angle_alpha 90.00
_cell_angle_beta 106.07
_cell_angle_gamma 90.00
_symmetry_space_group_name_H-M 'P 1 21/m 1'
_symmetry_Int_Tables_number 11
loop_
_symmetry_equiv_pos_as_xyz
'x,y,z'
'-x,-y,-z'
'-x,y+1/2,-z'
'x,-y+1/2,z'
loop_
_atom_site_label
_atom_site_type_symbol
_atom_site_fract_x
_atom_site_fract_y
_atom_site_fract_z
Y1 Y 0.1392 0.2500 0.0782
Y2 Y 0.2502 0.7500 0.3760
Y3 Y 0.3172 0.5054 0.7791
Ni1 Ni 0.3349 0.7500 0.0565
Hg1 Hg 0.1843 0.2500 0.4483



Number 1: energy of formation -0.0721 eV/atom. Number 2: energy of formation -0.3358 eV/atom. Number 3: energy of formation -0.1848 eV/atom. Number 4: energy of formation -0.2871 eV/atom.